(1)
{"formula": "LiCaBiH2", "functional": "meta-GGA SCAN", "state": "single point on PBEsol structure", "n_ef_per_ev_fu": 1.986, "density_g_cm3": 4.207, "total_energy_ev_per_atom": -19.18, "lattice": [[4.352, 0.000, 0.000], [0.000, 4.352, 0.000], [0.000, 0.000, 5.377]], "species": ["Li", "Ca", "Bi", "H", "H"], "frac_coords": [[0.000, 0.000, 0.000], [0.500, 0.500, 0.000], [0.000, 0.000, 0.500], [0.000, 0.500, 0.500], [0.500, 0.000, 0.500]]}

(2)
{"formula": "CaHf2Bi", "functional": "meta-GGA SCAN", "state": "single point on PBEsol structure", "n_ef_per_ev_fu": 4.093, "delta_e_f_mev_per_atom": 480.8, "density_g_cm3": 9.303, "total_energy_ev_per_atom": -52.92, "lattice": [[-4.247, 4.247, 2.999], [4.247, -4.247, 2.999], [4.247, 4.247, -2.999]], "species": ["Ca", "Ca", "Hf", "Hf", "Hf", "Hf", "Bi", "Bi"], "frac_coords": [[0.000, 0.000, 0.000], [0.750, 0.250, 0.500], [0.157, 0.625, 0.032], [0.375, 0.407, 0.532], [0.593, 0.125, 0.968], [0.875, 0.843, 0.468], [0.250, 0.750, 0.500], [0.500, 0.500, 0.000]]}

(3)
{"formula": "Ca2HgBi", "functional": "meta-GGA SCAN", "state": "single point on PBEsol structure", "n_ef_per_ev_fu": 2.596, "delta_e_f_mev_per_atom": -793.9, "density_g_cm3": 7.241, "total_energy_ev_per_atom": -42.31, "lattice": [[0.000, 3.829, 3.829], [3.829, 0.000, 3.829], [3.829, 3.829, 0.000]], "species": ["Ca", "Ca", "Hg", "Bi"], "frac_coords": [[0.250, 0.250, 0.250], [0.750, 0.750, 0.750], [0.000, 0.000, 0.000], [0.500, 0.500, 0.500]]}

(4)
{"formula": "Ca2HgBi2", "functional": "meta-GGA SCAN", "state": "single point on PBEsol structure", "n_ef_per_ev_fu": 1.583, "delta_e_f_mev_per_atom": -470.4, "density_g_cm3": 6.560, "total_energy_ev_per_atom": -49.40, "lattice": [[-3.031, 3.031, 4.812], [3.031, -3.031, 4.812], [3.031, 3.031, -4.812]], "species": ["Ca", "Ca", "Hg", "Bi", "Bi"], "frac_coords": [[0.250, 0.750, 0.500], [0.750, 0.250, 0.500], [0.000, 0.000, 0.000], [0.341, 0.341, 0.000], [0.659, 0.659, 0.000]]}

(5)
{"formula": "CaHg2Bi2", "functional": "meta-GGA SCAN", "state": "single point on PBEsol structure", "n_ef_per_ev_fu": 2.763, "delta_e_f_mev_per_atom": -216.0, "density_g_cm3": 9.742, "total_energy_ev_per_atom": -60.85, "lattice": [[-2.116, 2.116, 8.174], [2.116, -2.116, 8.174], [2.116, 2.116, -8.174]], "species": ["Ca", "Hg", "Hg", "Bi", "Bi"], "frac_coords": [[0.000, 0.000, 0.000], [0.250, 0.750, 0.500], [0.750, 0.250, 0.500], [0.407, 0.407, 0.000], [0.593, 0.593, 0.000]]}

(6)
{"formula": "CaIn2Bi2", "functional": "meta-GGA SCAN", "state": "single point on PBEsol structure", "n_ef_per_ev_fu": 2.116, "delta_e_f_mev_per_atom": -255.0, "density_g_cm3": 7.519, "total_energy_ev_per_atom": -46.97, "lattice": [[-2.142, 2.142, 8.273], [2.142, -2.142, 8.273], [2.142, 2.142, -8.273]], "species": ["Ca", "In", "In", "Bi", "Bi"], "frac_coords": [[0.000, 0.000, 0.000], [0.250, 0.750, 0.500], [0.750, 0.250, 0.500], [0.407, 0.407, 0.000], [0.593, 0.593, 0.000]]}